Computed, not measured: crystalline Fe3P2 at its relaxed geometry at the PBE level of DFT.

Output
Raw total energy in eV/atom: -7.65
Total moment in μB/f.u.: 0.5
D(E_F) in states/eV per atom: 1.17
Calculated volume in Å³ per cell: 57.6
DFT formation energy in meV/atom: -405

Geometry as POSCAR:
```
Fe3P2
1.0
3.6190 0.0000 0.0000
-1.8095 3.1341 0.0000
0.0000 0.0000 5.0771
Fe P
3 2
direct
0.0000 0.0000 0.0000
0.3333 0.6667 0.3339
0.6667 0.3333 0.6661
0.3333 0.6667 0.7725
0.6667 0.3333 0.2275
```



Computed, not measured: crystalline La4Tb7Pm at its relaxed geometry at the PBE level of DFT.

Output
Raw total energy in eV/atom: -4.50
Total moment in μB/f.u.: 0.0
ΔE to the lowest computed polymorph in eV/f.u.: 2.683
D(E_F) in states/eV per atom: 1.69
Calculated volume in Å³ per cell: 422.7
DFT formation energy in meV/atom: 239

Geometry as POSCAR:
```
La4Tb7Pm
1.0
6.0987 -3.0045 0.0000
6.0987 3.0045 0.0000
-6.0830 0.0000 11.5331
La Tb Pm
4 7 1
direct
0.0552 0.0552 0.3351
0.3580 0.3580 0.2227
0.6420 0.6420 0.7773
0.9448 0.9448 0.6649
0.0000 0.0000 0.0000
0.2128 0.2128 0.9237
0.2584 0.2584 0.6879
0.3619 0.3619 0.4949
0.6381 0.6381 0.5051
0.7416 0.7416 0.3121
0.7872 0.7872 0.0763
0.5000 0.5000 0.0000
```



Computed, not measured: crystalline LiSnB at its relaxed geometry at the PBE level of DFT.

Output
Raw total energy in eV/atom: -3.89
Total moment in μB/f.u.: 0.0
ΔE to the lowest computed polymorph in eV/f.u.: 1.201
D(E_F) in states/eV per atom: 0.21
Calculated volume in Å³ per cell: 53.5
DFT formation energy in meV/atom: 311

Geometry as POSCAR:
```
LiSnB
1.0
3.8562 0.0000 0.0000
-1.9281 3.3395 0.0000
0.0000 0.0000 4.1534
Li Sn B
1 1 1
direct
0.0000 0.0000 0.0000
0.6667 0.3333 0.5000
0.3333 0.6667 0.5000
```



Computed, not measured: crystalline Pr8ZnIn2 at its relaxed geometry at the PBE level of DFT.

Output
Raw total energy in eV/atom: -4.31
Total moment in μB/f.u.: 0.0
ΔE to the lowest computed polymorph in eV/f.u.: 0.000
D(E_F) in states/eV per atom: 1.13
Calculated volume in Å³ per cell: 354.3
DFT formation energy in meV/atom: -221

Geometry as POSCAR:
```
Pr8ZnIn2
1.0
9.3511 -2.7423 0.0000
9.3511 2.7423 0.0000
-0.3492 0.0000 6.9079
Pr Zn In
8 1 2
direct
0.0291 0.0291 0.2711
0.2111 0.2111 0.1091
0.3344 0.3344 0.5882
0.4098 0.4098 0.0940
0.5902 0.5902 0.9060
0.6656 0.6656 0.4118
0.7889 0.7889 0.8909
0.9709 0.9709 0.7289
0.5000 0.5000 0.5000
0.1556 0.1556 0.6573
0.8444 0.8444 0.3427
```



Computed, not measured: crystalline Al6Zn2Ga at its relaxed geometry at the PBE level of DFT.

Output
Raw total energy in eV/atom: -3.04
Total moment in μB/f.u.: 0.0
ΔE to the lowest computed polymorph in eV/f.u.: 0.000
D(E_F) in states/eV per atom: 0.35
Calculated volume in Å³ per cell: 153.2
DFT formation energy in meV/atom: 74

Geometry as POSCAR:
```
Al6Zn2Ga
1.0
6.3229 -1.4551 0.0000
6.3229 1.4551 0.0000
-4.8084 0.0000 8.3276
Al Zn Ga
6 2 1
direct
0.0407 0.0407 0.2400
0.2376 0.2376 0.6114
0.3752 0.3752 0.9528
0.6248 0.6248 0.0472
0.7624 0.7624 0.3886
0.9593 0.9593 0.7600
0.3387 0.3387 0.2075
0.6613 0.6613 0.7925
0.0000 0.0000 0.5000
```



Computed, not measured: crystalline Ac3Si2Ge at its relaxed geometry at the PBE level of DFT.

Output
E_form (uncorrected) in eV per atom: -0.520
Raw total energy in eV/atom: -5.15
Total moment in μB/f.u.: 0.5
ΔE to the lowest computed polymorph in eV/f.u.: 0.000
D(E_F) in states/eV per atom: 0.77
Calculated volume in Å³ per cell: 718.5

Geometry as POSCAR:
```
Ac3Si2Ge
1.0
12.6146 0.0000 0.0000
0.0000 4.4185 0.0000
0.0000 0.0000 12.8915
Ac Si Ge
12 8 4
direct
0.0637 0.2500 0.1195
0.1190 0.7500 0.5544
0.2007 0.2500 0.7967
0.2993 0.7500 0.2967
0.3810 0.2500 0.0544
0.4363 0.7500 0.6195
0.5637 0.2500 0.3805
0.6190 0.7500 0.9456
0.7007 0.2500 0.7033
0.7993 0.7500 0.2033
0.8810 0.2500 0.4456
0.9363 0.7500 0.8805
0.0266 0.7500 0.3130
0.1927 0.7500 0.9856
0.3073 0.2500 0.4856
0.4734 0.2500 0.8130
0.5266 0.7500 0.1870
0.6927 0.7500 0.5144
0.8073 0.2500 0.0144
0.9734 0.2500 0.6870
0.1282 0.2500 0.3656
0.3718 0.7500 0.8656
0.6282 0.2500 0.1344
0.8718 0.7500 0.6344
```



Computed, not measured: crystalline MgTaSi2 at its relaxed geometry at the PBE level of DFT.

Output
E_form (uncorrected) in eV per atom: -0.105
Raw total energy in eV/atom: -6.18
Total moment in μB/f.u.: 0.0
D(E_F) in states/eV per atom: 0.34
Calculated volume in Å³ per cell: 65.7

Geometry as POSCAR:
```
MgTaSi2
1.0
3.1816 0.0000 0.0000
0.0000 3.5533 0.0000
0.0000 0.0000 5.8144
Mg Ta Si
1 1 2
direct
0.0000 0.0000 0.0000
0.0000 0.0000 0.5000
0.5000 0.5000 0.2769
0.5000 0.5000 0.7231
```



Computed, not measured: crystalline SiB2PC at its relaxed geometry at the PBE level of DFT.

Output
E_form (uncorrected) in eV per atom: 0.112
Raw total energy in eV/atom: -6.57
Total moment in μB/f.u.: 0.0
ΔE to the lowest computed polymorph in eV/f.u.: 0.000
D(E_F) in states/eV per atom: 0.25
Calculated volume in Å³ per cell: 57.9

Geometry as POSCAR:
```
SiB2PC
1.0
1.5722 0.9077 6.7564
-1.5722 0.9077 6.7564
0.0000 -1.8155 6.7564
Si B P C
1 2 1 1
direct
0.0000 0.0000 0.0000
0.4812 0.4812 0.4812
0.5621 0.5621 0.5621
0.1147 0.1147 0.1147
0.6360 0.6360 0.6360
```



Computed, not measured: crystalline BaCaIr at its relaxed geometry at the PBE level of DFT.

Output
Raw total energy in eV/atom: -4.42
Total moment in μB/f.u.: 0.0
ΔE to the lowest computed polymorph in eV/f.u.: 0.000
D(E_F) in states/eV per atom: 0.87
Calculated volume in Å³ per cell: 198.6
DFT formation energy in meV/atom: -157

Geometry as POSCAR:
```
BaCaIr
1.0
-2.1348 3.5470 6.5567
2.1348 -3.5470 6.5567
2.1348 3.5470 -6.5567
Ba Ca Ir
2 2 2
direct
0.2235 0.2235 0.0000
0.7765 0.7765 0.0000
0.2748 0.5000 0.7748
0.7252 0.5000 0.2252
0.3997 0.8997 0.5000
0.6003 0.1003 0.5000
```



Computed, not measured: crystalline FeTe3H at its relaxed geometry at the PBE level of DFT.

Output
Raw total energy in eV/atom: -3.35
Total moment in μB/f.u.: 0.0
ΔE to the lowest computed polymorph in eV/f.u.: 0.000
D(E_F) in states/eV per atom: 1.41
Calculated volume in Å³ per cell: 125.5

Geometry as POSCAR:
```
FeTe3H
1.0
5.0069 0.0000 0.0000
0.0000 5.0069 0.0000
0.0000 0.0000 5.0069
Fe Te H
1 3 1
direct
0.0000 0.0000 0.0000
0.0000 0.0000 0.5000
0.0000 0.5000 0.0000
0.5000 0.0000 0.0000
0.5000 0.5000 0.5000
```